Record 1
The following is a meta-GGA SCAN calculation of a PBEsol-optimized structure of BAs2AuBr, from Alexandria.

abc: 4.923 4.923 5.326
angles: 90.00 90.00 90.00
Space group P4/mmm (No. 123)
Unique sites:
B1 0.000 0.000 0.000
As1 0.000 0.500 0.500
Au1 0.500 0.500 0.500
Br1 0.500 0.500 0.000

Results
The calculation puts the uncorrected formation energy at 1527.3 meV/atom. The density of states at the Fermi level is 0.537 states/eV per atom.

---

Record 2
The following is a meta-GGA SCAN calculation of a PBEsol-optimized structure of LiY2Se, from Alexandria.

abc: 3.995 4.025 11.019
angles: 90.00 90.00 90.00
Space group Amm2 (No. 38)
Unique sites:
Li1 0.000 0.000 0.000
Y1 0.000 0.000 0.285
Y2 0.500 0.000 0.583
Se1 0.500 0.000 0.861

Results
The calculation puts the uncorrected formation energy at -938.9 meV/atom. The density of states at the Fermi level is 0.559 states/eV per atom.

---

Record 3
The following is a meta-GGA SCAN calculation of a PBEsol-optimized structure of Ti2MnB2, from Alexandria.

abc: 5.711 5.711 3.107
angles: 90.00 90.00 90.00
Space group P4/mbm (No. 127)
Unique sites:
Ti1 0.182 0.318 0.000
Mn1 0.000 0.000 0.500
B1 0.111 0.611 0.500

Results
For the formation energy, the calculation gives -386 kJ/mol of formula units. The density of states at the Fermi level is 0.268 states/eV per atom.

---

Record 4
The following is a meta-GGA SCAN calculation of a PBEsol-optimized structure of TcN2Cl, from Alexandria.

abc: 8.224 8.224 8.224
angles: 90.00 90.00 90.00
Space group Fd-3m (No. 227, origin choice 2)
Unique sites:
Tc1 0.125 0.125 0.125
N1 0.000 0.000 0.000
Cl1 0.125 0.125 0.625

Results
As for the relative energy among the computed polymorphs: 0 meV per atom. The calculation puts the uncorrected formation energy at 225.3 meV/atom. The density of states at the Fermi level is 0.774 states/eV per atom.

---

Record 5
The following is a meta-GGA SCAN calculation of a PBEsol-optimized structure of KCd2FeSb, from Alexandria.

abc: 5.102 5.102 4.715
angles: 90.00 90.00 90.00
Space group P4/mmm (No. 123)
Unique sites:
K1 0.000 0.000 0.000
Cd1 0.000 0.500 0.500
Fe1 0.500 0.500 0.500
Sb1 0.500 0.500 0.000

Results
The calculation puts the uncorrected formation energy at 40.4 meV/atom. The density of states at the Fermi level is 0.398 states/eV per atom.

---

Record 6
The following is a meta-GGA SCAN calculation of a PBEsol-optimized structure of Tl2HgMo, from Alexandria.

abc: 2.897 4.849 13.862
angles: 90.00 90.00 90.00
Space group Immm (No. 71)
Unique sites:
Tl1 0.000 0.000 0.181
Hg1 0.000 0.500 0.000
Mo1 0.000 0.500 0.500

Results
For the formation energy, the calculation gives 203 kJ/mol of formula units. As for the relative energy among the computed polymorphs: 5 meV per atom. The density of states at the Fermi level is 0.603 states/eV per atom.

---

Record 7
The following is a meta-GGA SCAN calculation of a PBEsol-optimized structure of FeAsP, from Alexandria.

abc: 5.524 5.741 5.784
angles: 90.00 118.48 90.00
Space group P2_1/c (No. 14)
Unique sites:
Fe1 0.240 0.007 0.491
As1 0.336 0.633 0.665
P1 0.159 0.141 0.812

Results
For the formation energy, the calculation gives -104 kJ/mol of formula units.

---

Record 8
The following is a meta-GGA SCAN calculation of a PBEsol-optimized structure of K2TlMo, from Alexandria.

abc: 3.2160 3.2160 36.9228
angles: 90.00 90.00 120.00
Space group R3m (No. 160, hexagonal axes)
Unique sites:
K1 0.0000 0.0000 0.0000
K2 0.0000 0.0000 0.2209
Tl1 0.0000 0.0000 0.7459
Mo1 0.0000 0.0000 0.4755

Results
For the formation energy, the calculation gives 381 kJ/mol of formula units. As for the relative energy among the computed polymorphs: 274 meV per atom. The density of states at the Fermi level is 0.809 states/eV per atom.

---

Record 9
The following is a meta-GGA SCAN calculation of a PBEsol-optimized structure of AgP2Br, from Alexandria.

abc: 4.931 4.931 2.875
angles: 90.00 90.00 90.00
Space group P4/mmm (No. 123)
Unique sites:
Ag1 0.000 0.000 0.000
P1 0.000 0.500 0.500
Br1 0.500 0.500 0.000

Results
As for the relative energy among the computed polymorphs: 777 meV per atom. The calculation puts the uncorrected formation energy at 962.9 meV/atom. The density of states at the Fermi level is 0.450 states/eV per atom.

---

Record 10
The following is a meta-GGA SCAN calculation of a PBEsol-optimized structure of HfGePCl2, from Alexandria.

abc: 4.782 4.782 5.155
angles: 90.00 90.00 90.00
Space group P4/mmm (No. 123)
Unique sites:
Hf1 0.000 0.000 0.000
Ge1 0.500 0.500 0.500
P1 0.000 0.000 0.500
Cl1 0.000 0.500 0.000

Results
The calculation puts the uncorrected formation energy at -410.4 meV/atom. The density of states at the Fermi level is 0.485 states/eV per atom.

---

Record 11
The following is a meta-GGA SCAN calculation of a PBEsol-optimized structure of Be2TlRu, from Alexandria.

abc: 8.103 3.140 4.556
angles: 90.00 103.65 90.00
Space group C2/m (No. 12)
Unique sites:
Be1 0.217 0.000 0.122
Tl1 0.000 0.000 0.500
Ru1 0.000 0.500 0.000

Results
For the formation energy, the calculation gives 75 kJ/mol of formula units. The density of states at the Fermi level is 0.251 states/eV per atom.

---

Record 12
The following is a meta-GGA SCAN calculation of a PBEsol-optimized structure of KCaPb2, from Alexandria.

abc: 3.489 3.489 10.140
angles: 90.00 90.00 90.00
Space group P4/mmm (No. 123)
Unique sites:
K1 0.000 0.000 0.000
Ca1 0.000 0.000 0.500
Pb1 0.500 0.500 0.269

Results
For the formation energy, the calculation gives -183 kJ/mol of formula units. The density of states at the Fermi level is 0.503 states/eV per atom.

---

Record 13
The following is a meta-GGA SCAN calculation of a PBEsol-optimized structure of BeRu2Pb, from Alexandria.

abc: 8.361 3.000 4.913
angles: 90.00 108.57 90.00
Space group C2/m (No. 12)
Unique sites:
Be1 0.000 0.000 0.000
Ru1 0.218 0.500 0.197
Pb1 0.000 0.500 0.500

Results
For the formation energy, the calculation gives 118 kJ/mol of formula units. As for the relative energy among the computed polymorphs: 0 meV per atom. The density of states at the Fermi level is 0.488 states/eV per atom.

---

Record 14
The following is a meta-GGA SCAN calculation of a PBEsol-optimized structure of Pr2CuGe2O8, from Alexandria.

abc: 9.840 15.355 5.159
angles: 90.00 120.64 90.00
Space group Cm (No. 8)
Unique sites:
Pr1 0.000 0.121 0.000
Pr2 0.001 0.379 0.485
Cu1 0.293 0.293 0.301
Ge1 0.242 0.211 0.753
Ge2 0.256 0.000 0.703
Ge3 0.262 0.500 0.297
O1 0.062 0.233 0.738
O2 0.091 0.000 0.336
O3 0.091 0.500 0.329
O4 0.248 0.326 0.599
O5 0.254 0.173 0.434
O6 0.257 0.093 0.917
O7 0.268 0.406 0.098
O8 0.406 0.241 0.114
O9 0.422 0.500 0.675
O10 0.425 0.000 0.667

Results
The calculation puts the uncorrected formation energy at -2482.3 meV/atom. The density of states at the Fermi level is 0.000 states/eV per atom.

---

Record 15
The following is a meta-GGA SCAN calculation of a PBEsol-optimized structure of Al2FeRh, from Alexandria.

abc: 2.7526 2.7526 24.1402
angles: 90.00 90.00 120.00
Space group R-3m (No. 166, hexagonal axes)
Unique sites:
Al1 0.0000 0.0000 0.2493
Fe1 0.0000 0.0000 0.5000
Rh1 0.0000 0.0000 0.0000

Results
For the formation energy, the calculation gives -193 kJ/mol of formula units. The density of states at the Fermi level is 0.700 states/eV per atom.

---

Record 16
The following is a meta-GGA SCAN calculation of a PBEsol-optimized structure of KIr3S, from Alexandria.

abc: 4.458 4.458 4.458
angles: 90.00 90.00 90.00
Space group Pm-3m (No. 221)
Unique sites:
K1 0.000 0.000 0.000
Ir1 0.000 0.500 0.500
S1 0.500 0.500 0.500

Results
The calculation puts the uncorrected formation energy at 905.8 meV/atom. The density of states at the Fermi level is 0.908 states/eV per atom.

---

Record 17
The following is a meta-GGA SCAN calculation of a PBEsol-optimized structure of RbGeSb2Pt, from Alexandria.

abc: 5.203 5.203 5.749
angles: 90.00 90.00 90.00
Space group P4/mmm (No. 123)
Unique sites:
Rb1 0.000 0.000 0.000
Ge1 0.000 0.000 0.500
Sb1 0.000 0.500 0.500
Pt1 0.500 0.500 0.000

Results
The calculation puts the uncorrected formation energy at 964.1 meV/atom. The density of states at the Fermi level is 0.738 states/eV per atom.

---

Record 18
The following is a meta-GGA SCAN calculation of a PBEsol-optimized structure of KFeRe2, from Alexandria.

abc: 5.283 10.050 2.564
angles: 90.00 107.04 90.00
Space group C2/m (No. 12)
Unique sites:
K1 0.000 0.000 0.000
Fe1 0.000 0.500 0.000
Re1 0.250 0.250 0.500

Results
For the formation energy, the calculation gives 517 kJ/mol of formula units. As for the relative energy among the computed polymorphs: 555 meV per atom. The density of states at the Fermi level is 0.743 states/eV per atom.

---

Record 19
The following is a meta-GGA SCAN calculation of a PBEsol-optimized structure of Be2Hg2Sb, from Alexandria.

abc: 3.852 3.852 12.018
angles: 90.00 90.00 90.00
Space group I4/mmm (No. 139)
Unique sites:
Be1 0.000 0.500 0.250
Hg1 0.000 0.000 0.124
Sb1 0.000 0.000 0.500

Results
The calculation puts the uncorrected formation energy at 339.6 meV/atom. The density of states at the Fermi level is 0.251 states/eV per atom.

---

Record 20
The following is a meta-GGA SCAN calculation of a PBEsol-optimized structure of ThCu6, from Alexandria.

abc: 7.971 5.001 9.980
angles: 90.00 90.00 90.00
Space group Pnma (No. 62)
Unique sites:
Th1 0.240 0.250 0.065
Cu1 0.062 0.750 0.098
Cu2 0.064 0.005 0.309
Cu3 0.100 0.250 0.515
Cu4 0.146 0.750 0.858
Cu5 0.183 0.250 0.756

Results
For the formation energy, the calculation gives -87 kJ/mol of formula units. The density of states at the Fermi level is 0.392 states/eV per atom.

---

Record 21
The following is a meta-GGA SCAN calculation of a PBEsol-optimized structure of Al4PbSe, from Alexandria.

abc: 7.856 7.856 7.856
angles: 90.00 90.00 90.00
Space group F-43m (No. 216)
Unique sites:
Al1 0.125 0.125 0.125
Pb1 0.000 0.000 0.500
Se1 0.250 0.250 0.750

Results
The calculation puts the uncorrected formation energy at 247.3 meV/atom. The density of states at the Fermi level is 0.474 states/eV per atom.

---

Record 22
The following is a meta-GGA SCAN calculation of a PBEsol-optimized structure of CaRuSe2, from Alexandria.

abc: 3.9445 3.9445 17.1590
angles: 90.00 90.00 120.00
Space group R-3m (No. 166, hexagonal axes)
Unique sites:
Ca1 0.0000 0.0000 0.0000
Ru1 0.0000 0.0000 0.5000
Se1 0.0000 0.0000 0.2314

Results
As for the relative energy among the computed polymorphs: 0 meV per atom. The calculation puts the uncorrected formation energy at -1030.1 meV/atom.

---

Record 23
The following is a meta-GGA SCAN calculation of a PBEsol-optimized structure of RbHfOsS2, from Alexandria.

abc: 4.904 4.904 4.843
angles: 90.00 90.00 90.00
Space group P4/mmm (No. 123)
Unique sites:
Rb1 0.000 0.000 0.000
Hf1 0.500 0.500 0.000
Os1 0.500 0.500 0.500
S1 0.000 0.500 0.500

Results
The calculation puts the uncorrected formation energy at 340.4 meV/atom. The density of states at the Fermi level is 0.742 states/eV per atom.

---

Record 24
The following is a meta-GGA SCAN calculation of a PBEsol-optimized structure of LiAg2, from Alexandria.

abc: 8.357 4.931 4.665
angles: 90.00 90.00 90.00
Space group Cmcm (No. 63)
Unique sites:
Li1 0.000 0.175 0.250
Ag1 0.168 0.339 0.750

Results
For the formation energy, the calculation gives -44 kJ/mol of formula units. As for the relative energy among the computed polymorphs: 5 meV per atom. The density of states at the Fermi level is 0.233 states/eV per atom.

---

Record 25
The following is a meta-GGA SCAN calculation of a PBEsol-optimized structure of Ca5CuP3, from Alexandria.

abc: 8.3537 8.3537 6.6152
angles: 90.00 90.00 120.00
Space group P6_3/mcm (No. 193)
Unique sites:
Ca1 0.0000 0.2689 0.2500
Ca2 0.3333 0.6667 0.0000
Cu1 0.0000 0.0000 0.0000
P1 0.0000 0.3873 0.7500

Results
For the formation energy, the calculation gives -856 kJ/mol of formula units. The density of states at the Fermi level is 0.010 states/eV per atom.

---

| no. | total moment (μB/f.u.) |
| --- | --- |
| 1 | 1.509 |
| 2 | 0.029 |
| 3 | 0.000 |
| 4 | 0.003 |
| 5 | 1.283 |
| 6 | 1.170 |
| 7 | 0.000 |
| 8 | 0.000 |
| 9 | 0.000 |
| 10 | 0.811 |
| 11 | 0.000 |
| 12 | 0.000 |
| 13 | 0.000 |
| 14 | 0.992 |
| 15 | 2.301 |
| 16 | 0.001 |
| 17 | 0.000 |
| 18 | 3.292 |
| 19 | 0.000 |
| 20 | 0.000 |
| 21 | 0.000 |
| 22 | 0.000 |
| 23 | 0.371 |
| 24 | 0.000 |
| 25 | 0.000 |